Record 1
Compound: Na3LiWO5
Source: the Alexandria database
Functional: SCAN
Structure: PBEsol geometry

abc: 5.6326 5.9971 7.5317
angles: 76.42 71.53 73.60
Sites, in units of the cell vectors:
W1 0.8994 0.8396 0.2055
Na1 0.3230 0.4459 0.3853
O1 0.9878 0.7701 0.4300
W2 0.1006 0.1604 0.7945
O2 0.1540 0.5786 0.1062
Li1 0.8889 0.3585 0.1548
O3 0.8497 0.9484 0.9259
Na2 0.7011 0.0505 0.5955
O4 0.8460 0.4214 0.8938
Na3 0.6770 0.5541 0.6147
Na4 0.2989 0.9495 0.4045
O5 0.6459 0.6658 0.2719
Na5 0.4813 0.2534 0.0101
Li2 0.1111 0.6415 0.8452
O6 0.6503 0.1209 0.2737
Na6 0.5187 0.7466 0.9899
O7 0.1503 0.0516 0.0741
O8 0.3541 0.3342 0.7281
O9 0.3497 0.8791 0.7263
O10 0.0122 0.2299 0.5700

## Properties
Calculated density = 4.938 g/cm3
Total magnetization = 0.00 μB/cell
E = -13.81 eV/atom
Fermi-level density of states = 0.00 states/eV/atom
ΔE_f (raw) = -2.2184 eV/atom

Record 2
Compound: Na2LiOs
Source: the Alexandria database
Functional: SCAN
Structure: PBEsol geometry

abc: 5.3044 5.9831 5.9831
angles: 78.67 63.69 63.69
Last column: magnetic moment on the atom in μB.
Sites, in units of the cell vectors:
Li1 0.5000 0.0000 0.0000  -0.01
Os1 0.0000 0.0000 0.0000  1.28
Li2 0.2500 0.5000 0.5000  -0.01
Na1 0.5996 0.5254 0.0254  -0.01
Na2 0.1504 0.4746 0.9746  -0.01
Na3 0.3750 0.0254 0.4746  -0.01
Os2 0.7500 0.5000 0.5000  1.28
Na4 0.8750 0.9746 0.5254  -0.01

## Properties
Calculated density = 5.293 g/cm3
Total magnetization = 2.78 μB/cell
E = -19.47 eV/atom
Fermi-level density of states = 0.93 states/eV/atom
Formation energy from the elements = 1.21 eV per atom